Entry 1:
The following is a DFT calculation (PBE) of a geometry-optimized Pm7TlPb5 structure.

a = 6.544 Å, b = 8.629 Å, c = 8.629 Å
α = 85.61°, β = 67.71°, γ = 67.71°
Fractional positions:
1 Pm 0.525 0.139 0.811
2 Pm 0.628 0.372 0.372
3 Pm 0.009 0.656 0.326
4 Pm 0.252 0.748 0.748
5 Pm 0.525 0.811 0.139
6 Pm 0.279 0.221 0.221
7 Pm 0.009 0.326 0.656
8 Pb 0.513 0.476 0.997
9 Pb 0.014 0.997 0.476
10 Pb 0.014 0.476 0.997
11 Pb 0.513 0.997 0.476
12 Pb 0.769 0.731 0.731
13 Tl 0.948 0.052 0.052

The calculation puts the formation energy from the elements at -0.3205 eV per atom. The space-group type is Imm2 (44).

***

Entry 2:
The following is a DFT calculation (PBE) of a geometry-optimized Sr2AuCl2O2 structure.

a = 4.255 Å, b = 4.255 Å, c = 8.437 Å
α = 104.61°, β = 104.61°, γ = 90.00°
Fractional positions:
1 Cl 0.808 0.808 0.617
2 Cl 0.192 0.192 0.383
3 O 0.500 0.000 0.000
4 O 0.000 0.500 0.000
5 Sr 0.611 0.611 0.222
6 Sr 0.389 0.389 0.778
7 Au 0.000 0.000 0.000

As for the uncorrected formation energy: -1.813 eV per atom. The space-group type is I4/mmm (139).

***

| no. | calculated total energy (eV per atom) |
| --- | --- |
| 1 | -4.49 |
| 2 | -4.71 |